RbLaZr2Si | PBEsol | optimized geometry

Properties
Formation energy from raw total energies in kJ per mole of atoms: 149.0
Energy in eV for the cell shown: -22.6
Volume in Å³ per cell: 136.7

Structure (CIF):
```
data_RbLaZr2Si
_chemical_formula_sum 'Rb1 La1 Zr2 Si1'
_cell_length_a 4.936
_cell_length_b 4.936
_cell_length_c 5.612
_cell_angle_alpha 90.00
_cell_angle_beta 90.00
_cell_angle_gamma 90.00
_space_group_name_H-M_alt 'P 1'
_space_group_IT_number 1
loop_
_space_group_symop_operation_xyz
'x,y,z'
loop_
_atom_site_label
_atom_site_type_symbol
_atom_site_fract_x
_atom_site_fract_y
_atom_site_fract_z
_atom_site_occupancy
Rb1 Rb 0.000 0.000 0.000 1
La1 La 0.500 0.500 0.500 1
Zr1 Zr 0.000 0.500 0.000 1
Zr2 Zr 0.500 0.000 0.000 1
Si1 Si 0.000 0.000 0.500 1
```

=====

RbSrLa2Zn | PBEsol | optimized geometry

Properties
Energy in eV for the cell shown: -9.3
Formation enthalpy at 0 K in meV per atom: 1171
Volume in Å³ per cell: 216.9

Structure (CIF):
```
data_RbSrLa2Zn
_chemical_formula_sum 'Rb1 Sr1 La2 Zn1'
_cell_length_a 5.902
_cell_length_b 5.902
_cell_length_c 6.227
_cell_angle_alpha 90.00
_cell_angle_beta 90.00
_cell_angle_gamma 90.00
_space_group_name_H-M_alt 'P 1'
_space_group_IT_number 1
loop_
_space_group_symop_operation_xyz
'x,y,z'
loop_
_atom_site_label
_atom_site_type_symbol
_atom_site_fract_x
_atom_site_fract_y
_atom_site_fract_z
_atom_site_occupancy
Rb1 Rb 0.000 0.000 0.000 1
Sr1 Sr 0.000 0.000 0.500 1
La1 La 0.000 0.500 0.500 1
La2 La 0.500 0.000 0.500 1
Zn1 Zn 0.500 0.500 0.000 1
```

=====

RbLaTa3 | PBEsol | optimized geometry

Properties
Energy in eV for the cell shown: -32.0
Formation enthalpy at 0 K in meV per atom: 2402
Volume in Å³ per cell: 132.9

Structure (CIF):
```
data_RbLaTa3
_chemical_formula_sum 'Rb1 La1 Ta3'
_cell_length_a 5.103
_cell_length_b 5.103
_cell_length_c 5.103
_cell_angle_alpha 90.00
_cell_angle_beta 90.00
_cell_angle_gamma 90.00
_space_group_name_H-M_alt 'P 1'
_space_group_IT_number 1
loop_
_space_group_symop_operation_xyz
'x,y,z'
loop_
_atom_site_label
_atom_site_type_symbol
_atom_site_fract_x
_atom_site_fract_y
_atom_site_fract_z
_atom_site_occupancy
Rb1 Rb 0.000 0.000 0.000 1
La1 La 0.500 0.500 0.500 1
Ta1 Ta 0.000 0.500 0.500 1
Ta2 Ta 0.500 0.000 0.500 1
Ta3 Ta 0.500 0.500 0.000 1
```